1.
VASP calculation (SCAN) on Mg2MoRu at its PBEsol-relaxed geometry.

The structure belongs to space group P4mm (No. 99); the cell edges are 3.052, 3.052 and 7.226 Å and the angles 90.00°, 90.00° and 90.00°. The asymmetric unit holds Mg at (0.000, 0.000, 0.000), Mg at (0.500, 0.500, 0.309), Mo at (0.000, 0.000, 0.570) and Ru at (0.500, 0.500, 0.759).

As for the total DFT energy (no corrections): -19.9492 eV/atom.


2.
VASP calculation (SCAN) on BaCuSF at its PBEsol-relaxed geometry.

The structure belongs to space group P4/nmm (No. 129, origin choice 2); the cell edges are 4.045, 4.045 and 8.988 Å and the angles 90.00°, 90.00° and 90.00°. The asymmetric unit holds Ba at (0.250, 0.250, 0.181), Cu at (0.250, 0.750, 0.500), S at (0.250, 0.250, 0.643) and F at (0.250, 0.750, 0.000).

Its uncorrected formation energy is -2.218 eV/atom.


3.
VASP calculation (SCAN) on ZnSO3 at its PBEsol-relaxed geometry.

The structure belongs to space group Pm-3m (No. 221); the cell edges are 3.764, 3.764 and 3.764 Å and the angles 90.00°, 90.00° and 90.00°. The asymmetric unit holds Zn at (0.000, 0.000, 0.000), S at (0.500, 0.500, 0.500) and O at (0.000, 0.000, 0.500).

Its uncorrected formation energy is 0.513 eV/atom.


4.
VASP calculation (SCAN) on Cs2LiTlCl6 at its PBEsol-relaxed geometry.

The structure belongs to space group Fm-3m (No. 225); the cell edges are 10.327, 10.327 and 10.327 Å and the angles 90.00°, 90.00° and 90.00°. The asymmetric unit holds Cs at (0.250, 0.250, 0.250), Li at (0.000, 0.000, 0.000), Tl at (0.000, 0.000, 0.500) and Cl at (0.000, 0.000, 0.249).

Its uncorrected formation energy is -1.658 eV/atom.


5.
VASP calculation (SCAN) on Mg3CoHg at its PBEsol-relaxed geometry.

The structure belongs to space group Pm-3m (No. 221); the cell edges are 4.752, 4.752 and 4.752 Å and the angles 90.00°, 90.00° and 90.00°. The asymmetric unit holds Mg at (0.000, 0.000, 0.500), Co at (0.000, 0.000, 0.000) and Hg at (0.500, 0.500, 0.500).

As for the total DFT energy (no corrections): -19.7352 eV/atom.


6.
VASP calculation (SCAN) on TlCr3Te at its PBEsol-relaxed geometry.

The structure belongs to space group Pm-3m (No. 221); the cell edges are 5.028, 5.028 and 5.028 Å and the angles 90.00°, 90.00° and 90.00°. The asymmetric unit holds Tl at (0.000, 0.000, 0.000), Cr at (0.000, 0.000, 0.500) and Te at (0.500, 0.500, 0.500).

Its uncorrected formation energy is 0.927 eV/atom.


7.
VASP calculation (SCAN) on TcAu at its PBEsol-relaxed geometry.

The structure belongs to space group P6_3/mmc (No. 194); the cell edges are 4.3592, 4.3592 and 5.2099 Å and the angles 90.00°, 90.00° and 120.00°. The asymmetric unit holds Tc at (0.3333, 0.6667, 0.2500) and Au at (0.3333, 0.6667, 0.7500).

As for the total DFT energy (no corrections): -50.7517 eV/atom.


8.
VASP calculation (SCAN) on ZrPbSe at its PBEsol-relaxed geometry.

The structure belongs to space group F-43m (No. 216); the cell edges are 6.905, 6.905 and 6.905 Å and the angles 90.00°, 90.00° and 90.00°. The asymmetric unit holds Zr at (0.000, 0.000, 0.000), Pb at (0.250, 0.250, 0.750) and Se at (0.000, 0.000, 0.500).

Its uncorrected formation energy is 0.385 eV/atom.


no.,calculated volume (Å³/cell)
1,67
2,147
3,53
4,1101
5,107
6,127
7,86
8,329